## SbI3F (GGA-PBE)

Data for a relaxed structure of SbI3F.

```
data_SbI3F
_chemical_formula_sum 'Sb1 I3 F1'
_symmetry_space_group_name_H-M 'P m -3 m'
_symmetry_Int_Tables_number 221
_symmetry_space_group_name_Hall '-P 4 2 3'
_cell_length_a 5.948
_cell_length_b 5.948
_cell_length_c 5.948
_cell_angle_alpha 90.00
_cell_angle_beta 90.00
_cell_angle_gamma 90.00
loop_
_atom_site_label
_atom_site_fract_x
_atom_site_fract_y
_atom_site_fract_z
Sb1 0.000 0.000 0.000
I1 0.000 0.000 0.500
F1 0.500 0.500 0.500
```

Values from the calculation:
Electronic total energy   -2.18 eV/atom
Density of states at the Fermi level   5.0327 states/eV/atom
Total magnetization   0.19 μB per atom